Version i
LaSiBr2 | the Alexandria database | PBE | relaxed; space group = No. 216
1.0
5.3840 0.0000 0.0000
2.6920 4.6627 0.0000
2.6920 1.5542 4.3960
Br La Si
2 1 1
Direct
0.2500 0.2500 0.2500
0.0000 0.0000 0.0000
0.5000 0.5000 0.5000
0.7500 0.7500 0.7500



Version ii
LaSiBr2 | the Alexandria database | PBE | relaxed; space group = No. 12
1.0
6.1107 0.1414 0.1365
-2.0448 4.3144 -0.0057
1.8599 0.6610 4.3866
Br Si La
2 1 1
Direct
0.0000 0.5000 0.5000
0.0000 0.0000 0.0000
0.5000 0.0000 0.5000
0.5000 0.5000 0.0000



Name the most stable of them. version ii.



Version i
La2SiBr | the Alexandria database | PBE | relaxed; space group = No. 166
1.0
-3.4943 2.3506 1.1961
-3.4078 0.3912 -2.7202
-5.3605 -5.1400 2.4533
Br La Si
1 2 1
Direct
0.7500 0.7500 0.7500
0.5117 0.5117 0.4653
0.9883 0.9883 0.0347
0.2500 0.2500 0.2500



Version ii
La2SiBr | the Alexandria database | PBE | relaxed; space group = No. 65
1.0
-0.1717 3.4009 1.3334
-3.0305 -1.1896 1.6657
4.4336 -2.2959 6.4267
Br La Si
1 2 1
Direct
0.5000 0.5000 0.7500
0.0000 0.0000 0.4710
0.0000 0.0000 0.0290
0.5000 0.5000 0.2500



Version iii
La2SiBr | the Alexandria database | PBE | relaxed; space group = No. 216
1.0
-3.0197 3.2519 -2.8381
-5.2276 -0.6451 -0.0655
-3.1149 3.4890 2.4233
La Si Br
2 1 1
Direct
0.2500 0.2500 0.2500
0.0000 0.0000 0.0000
0.7500 0.7500 0.7500
0.5000 0.5000 0.5000



Version iv
La2SiBr | the Alexandria database | PBE | relaxed; space group = No. 160
1.0
-2.1254 3.7303 0.1983
-3.6863 0.2590 2.1946
2.0348 3.2502 7.2430
La Br Si
2 1 1
Direct
0.2646 0.2646 0.2062
0.0699 0.0699 0.7904
0.4978 0.4978 0.5065
0.6677 0.6677 0.9969



Name the most stable of them. version i.



Version i
La2SiBr | the Alexandria database | PBE | relaxed; space group = No. 225
1.0
2.4509 -3.9693 -2.5524
-0.3143 -4.9645 1.8794
-2.8571 -3.6524 -2.6028
La Br Si
2 1 1
Direct
0.2500 0.2500 0.2500
0.7500 0.7500 0.7500
0.5000 0.5000 0.5000
0.0000 0.0000 0.0000



Version ii
La2SiBr | the Alexandria database | PBE | relaxed; space group = No. 10
1.0
-1.1285 2.9734 -2.9859
2.8909 -4.3317 -5.4061
-1.2359 -4.4571 -3.9714
Br Si La
1 1 2
Direct
0.0000 0.0000 0.5000
0.5000 0.5000 0.5000
0.5000 0.5000 0.0000
0.0000 0.0000 0.0000



Version iii
La2SiBr | the Alexandria database | PBE | relaxed; space group = No. 160
1.0
10.7615 0.0126 0.0074
10.0758 3.7799 0.0074
10.0758 1.8338 3.3053
La Br Si
2 1 1
Direct
0.0055 0.0055 0.0055
0.2441 0.2441 0.2441
0.7380 0.7380 0.7380
0.5124 0.5124 0.5124



Version iv
La2SiBr | the Alexandria database | PBE | relaxed; space group = No. 44
1.0
8.1675 0.0003 -0.0049
6.1858 5.3332 0.0049
-7.1754 -2.6701 2.8446
La Si Br
2 1 1
Direct
0.0299 0.0299 0.0000
0.8123 0.3123 0.5000
0.4538 0.4538 0.0000
0.2040 0.7040 0.5000



Name the most stable of them. version ii.



Version i
La2SiBr | the Alexandria database | PBE | relaxed; space group = No. 38
1.0
6.2703 -0.0070 0.0004
4.9927 3.7935 0.0004
-0.0004 -0.0001 4.7449
Si La Br
1 2 1
Direct
0.5093 0.5093 0.3750
0.9962 0.9962 0.8750
0.2510 0.2510 0.3750
0.7436 0.7436 0.8750



Version ii
La2SiBr | the Alexandria database | PBE | relaxed; space group = No. 123
1.0
-2.6025 -2.5176 -0.4065
2.0823 -1.7627 -2.4152
3.2646 -4.3407 5.9827
La Br Si
2 1 1
Direct
0.0000 0.0000 0.0283
0.0000 0.0000 0.4717
0.5000 0.5000 0.7500
0.5000 0.5000 0.2500



Version iii
La2SiBr | the Alexandria database | PBE | relaxed; space group = No. 15
1.0
-3.8003 -5.1908 4.0770
7.5665 -1.4785 0.3148
-1.1906 8.3848 4.8794
Si Br La
4 4 8
Direct
0.6832 0.9332 0.8665
0.3168 0.0668 0.1335
0.9421 0.1921 0.3843
0.0579 0.8079 0.6157
0.5659 0.3160 0.6319
0.8097 0.5597 0.1195
0.4340 0.6841 0.3681
0.1903 0.4403 0.8805
0.1771 0.9508 0.3762
0.9502 0.7233 0.8745
0.3008 0.5746 0.6238
0.6992 0.4254 0.3762
0.8229 0.0492 0.6238
0.4242 0.1512 0.8745
0.5758 0.8488 0.1255
0.0498 0.2767 0.1255



Name the most stable of them. version iii.



Version i
LaSiBr3 | the Alexandria database | PBE | relaxed; space group = No. 221
1.0
-0.4914 -2.0636 -5.4818
-5.1687 -2.4351 1.3800
-2.7555 4.9358 -1.6110
Si La Br
1 1 3
Direct
0.5000 0.5000 0.5000
0.0000 0.0000 0.0000
0.0000 0.5000 0.0000
0.0000 0.0000 0.5000
0.5000 0.0000 0.0000



Version ii
LaSiBr3 | the Alexandria database | PBE | relaxed; space group = No. 221
1.0
5.3127 0.0000 0.0000
0.0000 5.3127 0.0000
0.0000 0.0000 5.3127
Br Si La
3 1 1
Direct
0.0000 0.0000 0.5000
0.5000 0.0000 0.0000
0.0000 0.5000 0.0000
0.0000 0.0000 0.0000
0.5000 0.5000 0.5000



Name the most stable of them. version i.



Version i
LaSmBr2 | the Alexandria database | PBE | relaxed; space group = No. 160
1.0
3.7330 0.0000 0.0000
1.8665 3.2329 0.0000
1.8665 1.0776 9.2448
Br La Sm
2 1 1
Direct
0.2479 0.2479 0.2564
0.0856 0.0856 0.7432
0.6655 0.6655 0.0034
0.5010 0.5010 0.4970



Version ii
LaSmBr2 | the Alexandria database | PBE | relaxed; space group = No. 166
1.0
3.7275 0.0000 0.0000
1.8637 3.2281 0.0000
1.8637 1.0760 10.4150
La Br Sm
1 2 1
Direct
0.0000 0.0000 0.0000
0.0986 0.0986 0.7041
0.9014 0.9014 0.2959
0.5000 0.5000 0.5000



Name the most stable of them. version i.



Version i
LaSmBr6 | the Alexandria database | PBE | relaxed; space group = No. 12
1.0
-0.6458 -6.7903 -3.1679
1.5630 0.8863 7.3029
-7.0591 1.6035 0.3135
Br La Sm
6 1 1
Direct
0.4064 0.1106 0.2550
0.5936 0.8894 0.7450
0.2500 0.2500 0.7437
0.7500 0.7500 0.2563
0.8894 0.5936 0.7450
0.1106 0.4064 0.2550
0.0000 0.0000 0.0000
0.5000 0.5000 0.5000



Version ii
LaSmBr6 | the Alexandria database | PBE | relaxed; space group = No. 148
1.0
-2.1997 -4.9339 -4.8547
1.1398 -7.0649 1.2316
-6.2503 -4.4142 1.8837
Br La Sm
6 1 1
Direct
0.4051 0.7552 0.7535
0.2449 0.9138 0.2463
0.5949 0.2448 0.2465
0.0861 0.4052 0.7535
0.9139 0.5948 0.2465
0.7551 0.0862 0.7537
0.5000 0.5000 0.5000
0.0000 0.0000 0.0000



Name the most stable of them. version i.



Version i
LaSn3Br | the Alexandria database | PBE | relaxed; space group = No. 221
1.0
6.1348 0.0000 0.0000
0.0000 6.1348 0.0000
0.0000 0.0000 6.1348
Sn Br La
3 1 1
Direct
0.0000 0.5000 0.0000
0.0000 0.0000 0.5000
0.5000 0.0000 0.0000
0.5000 0.5000 0.5000
0.0000 0.0000 0.0000



Version ii
LaSn3Br | the Alexandria database | PBE | relaxed; space group = No. 221
1.0
5.5230 0.0000 0.0000
0.0000 5.5230 0.0000
0.0000 0.0000 5.5230
Sn Br La
3 1 1
Direct
0.5000 0.0000 0.0000
0.0000 0.0000 0.5000
0.0000 0.5000 0.0000
0.0000 0.0000 0.0000
0.5000 0.5000 0.5000



Name the most stable of them. version ii.